# 1
First-principles (PBE-GGA) data for a geometry-optimized TbThCu structure, as listed in Alexandria via LeMat-Bulk.

Cell: 4.932 4.932 3.571 Å, 90.00 90.00 120.00°
Positions (direct):
Tb 0.000 0.000 0.000
Th 0.667 0.333 0.561
Cu 0.333 0.667 0.249

Calculated values
E_form ... 0.174 eV per atom
ΔE to the lowest computed polymorph ... 0.259 eV per atom
VASP energy ... -5.208 eV/atom

# 2
First-principles (PBE-GGA) data for a geometry-optimized Th3InTe2 structure, as listed in Alexandria via LeMat-Bulk.

Cell: 3.767 3.767 12.196 Å, 90.00 90.00 90.00°
Positions (direct):
Th 0.000 0.000 0.000
Th 0.000 0.000 0.325
Th 0.000 0.000 0.675
In 0.500 0.500 0.500
Te 0.500 0.500 0.160
Te 0.500 0.500 0.840

Calculated values
Formation energy from raw total energies ... -0.79 eV/atom
VASP energy ... -6.003 eV/atom

# 3
First-principles (PBE-GGA) data for a geometry-optimized La4TeAs structure, as listed in Alexandria via LeMat-Bulk.

Cell: 6.395 6.395 6.395 Å, 60.00 60.00 60.00°
Positions (direct):
La 0.125 0.125 0.125
La 0.125 0.125 0.624
La 0.125 0.624 0.125
La 0.624 0.125 0.125
Te 0.750 0.750 0.750
As 0.500 0.500 0.500

Calculated values
Formation energy from raw total energies ... -0.21 eV/atom
VASP energy ... -4.798 eV/atom

# 4
First-principles (PBE-GGA) data for a geometry-optimized CaNdTh2 structure, as listed in Alexandria via LeMat-Bulk.

Cell: 13.168 13.168 13.168 Å, 15.39 15.39 15.39°
Positions (direct):
Ca 0.000 0.000 0.000
Nd 0.500 0.500 0.500
Th 0.089 0.089 0.089
Th 0.911 0.911 0.911

Calculated values
E_form ... 0.256 eV per atom
ΔE to the lowest computed polymorph ... 0.072 eV per atom
VASP energy ... -5.146 eV/atom

# 5
First-principles (PBE-GGA) data for a geometry-optimized TaCrIn2 structure, as listed in Alexandria via LeMat-Bulk.

Cell: 3.020 3.020 9.329 Å, 90.00 90.00 112.35°
Positions (direct):
Ta 0.000 0.000 0.000
Cr 0.500 0.500 0.807
In 0.000 0.000 0.570
In 0.500 0.500 0.270

Calculated values
E_form ... 0.380 eV per atom
ΔE to the lowest computed polymorph ... 0.082 eV per atom
VASP energy ... -6.358 eV/atom

# 6
First-principles (PBE-GGA) data for a geometry-optimized CeGa12Co6 structure, as listed in Alexandria via LeMat-Bulk.

Cell: 6.935 6.935 6.935 Å, 105.02 105.02 105.02°
Positions (direct):
Ce 0.000 0.000 0.000
Ga 0.119 0.500 0.881
Ga 0.119 0.881 0.500
Ga 0.149 0.416 0.416
Ga 0.416 0.149 0.416
Ga 0.416 0.416 0.149
Ga 0.500 0.119 0.881
Ga 0.500 0.881 0.119
Ga 0.584 0.584 0.851
Ga 0.584 0.851 0.584
Ga 0.851 0.584 0.584
Ga 0.881 0.119 0.500
Ga 0.881 0.500 0.119
Co 0.271 0.271 0.688
Co 0.271 0.688 0.271
Co 0.312 0.729 0.729
Co 0.688 0.271 0.271
Co 0.729 0.312 0.729
Co 0.729 0.729 0.312

Calculated values
E_form ... -0.252 eV per atom
VASP energy ... -4.720 eV/atom

# 7
First-principles (PBE-GGA) data for a geometry-optimized Ce2Ni2Pt5Rh structure, as listed in Alexandria via LeMat-Bulk.

Cell: 9.110 9.110 4.064 Å, 90.00 90.00 90.00°
Positions (direct):
Ce 0.181 0.319 0.000
Ce 0.319 0.819 0.000
Ce 0.681 0.181 0.000
Ce 0.819 0.681 0.000
Ni 0.120 0.620 0.000
Ni 0.380 0.120 0.000
Ni 0.620 0.880 0.000
Ni 0.880 0.380 0.000
Pt 0.000 0.500 0.500
Pt 0.066 0.794 0.500
Pt 0.206 0.066 0.500
Pt 0.294 0.566 0.500
Pt 0.434 0.294 0.500
Pt 0.500 0.000 0.500
Pt 0.566 0.706 0.500
Pt 0.706 0.434 0.500
Pt 0.794 0.934 0.500
Pt 0.934 0.206 0.500
Rh 0.000 0.000 0.000
Rh 0.500 0.500 0.000

Calculated values
E_form ... -0.739 eV per atom
VASP energy ... -6.837 eV/atom

# 8
First-principles (PBE-GGA) data for a geometry-optimized AlTlTe2 structure, as listed in Alexandria via LeMat-Bulk.

Cell: 3.852 3.852 9.380 Å, 90.00 90.00 90.00°
Positions (direct):
Al 0.000 0.000 0.000
Tl 0.500 0.500 0.481
Te 0.000 0.000 0.282
Te 0.500 0.500 0.910

Calculated values
Formation energy from raw total energies ... -0.21 eV/atom
VASP energy ... -3.304 eV/atom

Repeat the seventh record exactly.
First-principles (PBE-GGA) data for a geometry-optimized Ce2Ni2Pt5Rh structure, as listed in Alexandria via LeMat-Bulk.

Cell: 9.110 9.110 4.064 Å, 90.00 90.00 90.00°
Positions (direct):
Ce 0.181 0.319 0.000
Ce 0.319 0.819 0.000
Ce 0.681 0.181 0.000
Ce 0.819 0.681 0.000
Ni 0.120 0.620 0.000
Ni 0.380 0.120 0.000
Ni 0.620 0.880 0.000
Ni 0.880 0.380 0.000
Pt 0.000 0.500 0.500
Pt 0.066 0.794 0.500
Pt 0.206 0.066 0.500
Pt 0.294 0.566 0.500
Pt 0.434 0.294 0.500
Pt 0.500 0.000 0.500
Pt 0.566 0.706 0.500
Pt 0.706 0.434 0.500
Pt 0.794 0.934 0.500
Pt 0.934 0.206 0.500
Rh 0.000 0.000 0.000
Rh 0.500 0.500 0.000

Calculated values
E_form ... -0.739 eV per atom
VASP energy ... -6.837 eV/atom

Q: Which value of VASP energy does entry 4 give?
A: -5.146 eV/atom